Entry 1:
Density functional theory data (GGA-PBE) for CdPt2Pb after structural relaxation.

CIF file:
```
data_CdPt2Pb
_symmetry_space_group_name_H-M 'P 4/m m m'
_symmetry_Int_Tables_number 123
_symmetry_space_group_name_Hall '-P 4 2'
_cell_length_a 4.7780
_cell_length_b 4.7780
_cell_length_c 3.3821
_cell_angle_alpha 90.00
_cell_angle_beta 90.00
_cell_angle_gamma 90.00
loop_
_atom_site_label
_atom_site_type_symbol
_atom_site_fract_x
_atom_site_fract_y
_atom_site_fract_z
Cd1 Cd 0.0000 0.0000 0.0000
Pt1 Pt 0.0000 0.5000 0.5000
Pb1 Pb 0.5000 0.5000 0.0000
```

Output
ΔE_f, eV per atom: -0.081
E above lowest polymorph, meV/atom: 97.8
Spin magnetization, μB per cell: 0.00
Fermi-level density of states, states/eV/cell: 1.84


Entry 2:
Density functional theory data (GGA-PBE) for LaBI2 after structural relaxation.

CIF file:
```
data_LaBI2
_symmetry_space_group_name_H-M 'F m -3 m'
_symmetry_Int_Tables_number 225
_symmetry_space_group_name_Hall '-F 4 2 3'
_cell_length_a 7.7738
_cell_length_b 7.7738
_cell_length_c 7.7738
_cell_angle_alpha 90.00
_cell_angle_beta 90.00
_cell_angle_gamma 90.00
loop_
_atom_site_label
_atom_site_type_symbol
_atom_site_fract_x
_atom_site_fract_y
_atom_site_fract_z
La1 La 0.0000 0.0000 0.0000
B1 B 0.0000 0.0000 0.5000
I1 I 0.2500 0.2500 0.2500
```

Output
E above lowest polymorph, meV/atom: 0.0
ΔE_f (raw), kJ/mol of atoms: 24
Spin magnetization, μB per cell: 7.91
Fermi-level density of states, states/eV/cell: 8.51


Entry 3:
Density functional theory data (GGA-PBE) for Li2Mg4In2Ga after structural relaxation.

CIF file:
```
data_Li2Mg4In2Ga
_symmetry_space_group_name_H-M 'P -1'
_symmetry_Int_Tables_number 2
_cell_length_a 5.2171
_cell_length_b 5.5487
_cell_length_c 7.2301
_cell_angle_alpha 111.93
_cell_angle_beta 99.84
_cell_angle_gamma 92.37
loop_
_symmetry_equiv_pos_as_xyz
'x,y,z'
'-x,-y,-z'
loop_
_atom_site_label
_atom_site_type_symbol
_atom_site_fract_x
_atom_site_fract_y
_atom_site_fract_z
Li1 Li 0.2252 0.3699 0.3941
Mg1 Mg 0.1171 0.2385 0.9453
Mg2 Mg 0.4384 0.8133 0.2842
In1 In 0.3247 0.7102 0.8189
Ga1 Ga 0.0000 0.0000 0.5000
```

Output
ΔE_f, eV per atom: -0.130
Spin magnetization, μB per cell: 0.00
Fermi-level density of states, states/eV/cell: 2.05


Entry 4:
Density functional theory data (GGA-PBE) for TlPbBr4 after structural relaxation.

CIF file:
```
data_TlPbBr4
_symmetry_space_group_name_H-M 'C 1 2/c 1'
_symmetry_Int_Tables_number 15
_cell_length_a 9.6665
_cell_length_b 15.1382
_cell_length_c 7.7258
_cell_angle_alpha 90.00
_cell_angle_beta 128.13
_cell_angle_gamma 90.00
loop_
_symmetry_equiv_pos_as_xyz
'x,y,z'
'-x,-y,-z'
'-x,y,-z+1/2'
'x,-y,z+1/2'
'x+1/2,y+1/2,z'
'-x+1/2,-y+1/2,-z'
'-x+1/2,y+1/2,-z+1/2'
'x+1/2,-y+1/2,z+1/2'
loop_
_atom_site_label
_atom_site_type_symbol
_atom_site_fract_x
_atom_site_fract_y
_atom_site_fract_z
Tl1 Tl 0.0000 0.0874 0.2500
Pb1 Pb 0.0000 0.4806 0.2500
Br1 Br 0.1523 0.3421 0.5913
Br2 Br 0.2053 0.0793 0.7683
```

Output
E above lowest polymorph, meV/atom: 0.0
ΔE_f (raw), kJ/mol of atoms: -62
Spin magnetization, μB per cell: 0.00
Fermi-level density of states, states/eV/cell: 13.59


Entry 5:
Density functional theory data (GGA-PBE) for NaRuBr2 after structural relaxation.

CIF file:
```
data_NaRuBr2
_symmetry_space_group_name_H-M 'R -3 m'
_symmetry_Int_Tables_number 166
_symmetry_space_group_name_Hall '-R 3 2"'
_cell_length_a 3.8798
_cell_length_b 3.8798
_cell_length_c 25.6759
_cell_angle_alpha 90.00
_cell_angle_beta 90.00
_cell_angle_gamma 120.00
loop_
_atom_site_label
_atom_site_type_symbol
_atom_site_fract_x
_atom_site_fract_y
_atom_site_fract_z
Na1 Na 0.0000 0.0000 0.0000
Ru1 Ru 0.0000 0.0000 0.5000
Br1 Br 0.0000 0.0000 0.4040
```

Output
E above lowest polymorph, meV/atom: 27.8
ΔE_f (raw), kJ/mol of atoms: -4
Spin magnetization, μB per cell: 9.00
Fermi-level density of states, states/eV/cell: 12.67


Entry 6:
Density functional theory data (GGA-PBE) for Ba2Ge2Ru after structural relaxation.

CIF file:
```
data_Ba2Ge2Ru
_symmetry_space_group_name_H-M 'P 4/m b m'
_symmetry_Int_Tables_number 127
_symmetry_space_group_name_Hall '-P 4 2ab'
_cell_length_a 6.9533
_cell_length_b 6.9533
_cell_length_c 5.3264
_cell_angle_alpha 90.00
_cell_angle_beta 90.00
_cell_angle_gamma 90.00
loop_
_atom_site_label
_atom_site_type_symbol
_atom_site_fract_x
_atom_site_fract_y
_atom_site_fract_z
Ba1 Ba 0.1836 0.3164 0.0000
Ge1 Ge 0.1376 0.6376 0.5000
Ru1 Ru 0.0000 0.0000 0.5000
```

Output
ΔE_f, eV per atom: -0.095
Spin magnetization, μB per cell: 0.00
Fermi-level density of states, states/eV/cell: 2.86